No. 1
The following is a PBE calculation of a relaxed structure of MgAlPbO4, from the Alexandria database.

It has space group Imma (No. 74), with a = 6.276 Å, b = 6.322 Å, c = 8.787 Å, α = 90.00°, β = 90.00° and γ = 90.00°. The inequivalent atoms are Mg at (0.000, 0.000, 0.000), Al at (0.000, 0.250, 0.373), Pb at (0.250, 0.250, 0.750), O at (0.000, 0.026, 0.241) and O at (0.248, 0.250, 0.485).

The calculated total energy is -6.10 eV/atom. As for the energy relative to the elements, uncorrected: -1.976 eV per atom.


No. 2
The following is a PBE calculation of a relaxed structure of Rb2SeCl2F4, from the Alexandria database.

It has space group I4/mmm (No. 139), with a = 6.836 Å, b = 6.836 Å, c = 8.836 Å, α = 90.00°, β = 90.00° and γ = 90.00°. The inequivalent atoms are Rb at (0.000, 0.500, 0.250), Se at (0.000, 0.000, 0.000), Cl at (0.000, 0.000, 0.277) and F at (0.202, 0.202, 0.000).

The calculated total energy is -3.72 eV/atom. As for the energy relative to the elements, uncorrected: -1.879 eV per atom.


No. 3
The following is a PBE calculation of a relaxed structure of Mn2CuAs2, from the Alexandria database.

It has space group P4/mbm (No. 127), with a = 6.841 Å, b = 6.841 Å, c = 3.177 Å, α = 90.00°, β = 90.00° and γ = 90.00°. The inequivalent atoms are Mn at (0.138, 0.362, 0.000), Cu at (0.000, 0.000, 0.500) and As at (0.158, 0.658, 0.500).

The calculated total energy is -6.30 eV/atom. The value obtained for the formation energy is 0.0470 eV/atom.


No. 4
The following is a PBE calculation of a relaxed structure of GdErZnAg, from the Alexandria database.

It has space group F-43m (No. 216), with a = 7.222 Å, b = 7.222 Å, c = 7.222 Å, α = 90.00°, β = 90.00° and γ = 90.00°. The inequivalent atoms are Gd at (0.000, 0.000, 0.000), Er at (0.000, 0.000, 0.500), Zn at (0.250, 0.250, 0.750) and Ag at (0.250, 0.250, 0.250).

The calculated total energy is -6.01 eV/atom. The value obtained for the formation energy is -0.3174 eV/atom.


Across the entries above, density of states at the Fermi level takes the values 2.4, 0.0, 3.0, 3.4 states/eV/f.u., respectively.